# 1
{"formula": "Rb2BeAgBr6", "functional": "PBE-GGA", "state": "optimized geometry", "raw_formation_energy_mev_per_atom": -940, "e_tot_ha_per_atom": -0.103, "lattice_angstrom": [[7.456, 0.000, 0.000], [0.000, 7.456, 0.000], [3.728, 3.728, 5.636]], "species": ["Be", "Br", "Ag", "Br", "Rb", "Br", "Br", "Br", "Br", "Rb"], "fractional_positions": [[0.500, 0.500, 0.000], [0.280, 0.280, 0.000], [0.000, 0.000, 0.000], [0.227, 0.227, 0.545], [0.750, 0.250, 0.500], [0.773, 0.773, 0.455], [0.720, 0.280, 0.000], [0.280, 0.720, 0.000], [0.720, 0.720, 0.000], [0.250, 0.750, 0.500]]}

***

# 2
{"formula": "SrTiBeOs2", "functional": "PBE-GGA", "state": "optimized geometry", "formation_energy_kcal_per_mol_atoms": 22.10, "e_tot_ha_per_atom": -0.228, "lattice_angstrom": [[4.336, 0.000, 0.000], [0.000, 4.678, 0.000], [0.000, 0.000, 4.336]], "species": ["Sr", "Os", "Ti", "Be", "Os"], "fractional_positions": [[0.000, 0.500, 0.000], [0.500, 0.000, 0.000], [0.500, 0.500, 0.500], [0.000, 0.000, 0.000], [0.000, 0.000, 0.500]]}

***

# 3
{"formula": "LiCa2SbS", "functional": "PBE-GGA", "state": "optimized geometry", "raw_formation_energy_mev_per_atom": -1267, "e_tot_ha_per_atom": -0.151, "lattice_angstrom": [[-0.789, 4.781, 2.286], [-4.421, -1.868, 2.382], [2.496, -1.312, 3.605]], "species": ["Sb", "Li", "S", "Ca", "Ca"], "fractional_positions": [[0.500, 0.500, 0.500], [0.000, 0.000, 0.500], [0.000, 0.000, 0.000], [0.500, 0.000, 0.000], [0.000, 0.500, 0.000]]}

***

# 4
{"formula": "Mg2GeBi", "functional": "PBE-GGA", "state": "optimized geometry", "formation_energy_kcal_per_mol_atoms": -0.91, "polymorph_energy_mev_per_atom": 84, "e_tot_ha_per_atom": -0.109, "lattice_angstrom": [[4.149, 0.000, 0.000], [0.000, 4.753, 0.000], [0.000, 0.000, 4.753]], "species": ["Mg", "Mg", "Bi", "Ge"], "fractional_positions": [[0.000, 0.000, 0.500], [0.000, 0.500, 0.000], [0.500, 0.500, 0.500], [0.500, 0.000, 0.000]]}

***

# 5
{"formula": "CdOs2Br", "functional": "PBE-GGA", "state": "optimized geometry", "raw_formation_energy_mev_per_atom": 1388, "polymorph_energy_mev_per_atom": 954, "e_tot_ha_per_atom": -0.179, "lattice_angstrom": [[-2.073, -0.749, 6.112], [-2.358, -2.546, -1.112], [2.524, -2.573, 0.541]], "species": ["Cd", "Os", "Br", "Os"], "fractional_positions": [[0.500, 0.000, 0.500], [0.000, 0.000, 0.000], [0.500, 0.500, 0.000], [0.000, 0.500, 0.500]]}

***

# 6
{"formula": "DyAgPd", "functional": "PBE-GGA", "state": "optimized geometry", "formation_energy_kcal_per_mol_atoms": -10.87, "polymorph_energy_mev_per_atom": 143, "e_tot_ha_per_atom": -0.172, "lattice_angstrom": [[4.644, 0.000, 0.000], [2.322, 4.021, 0.000], [2.322, 1.340, 3.791]], "species": ["Dy", "Ag", "Pd"], "fractional_positions": [[0.000, 0.000, 0.000], [0.500, 0.500, 0.500], [0.250, 0.250, 0.250]]}

***

# 7
{"formula": "HfP2N", "functional": "PBE-GGA", "state": "optimized geometry", "raw_formation_energy_mev_per_atom": 120, "e_tot_ha_per_atom": -0.263, "lattice_angstrom": [[-3.099, 3.568, -3.132], [-3.548, 0.745, 4.359], [-1.326, 4.907, 1.770]], "species": ["Hf", "Hf", "P", "N", "P", "P", "N", "P"], "fractional_positions": [[0.000, 0.000, 0.000], [0.750, 0.250, 0.500], [0.375, 0.476, 0.750], [0.500, 0.500, 0.000], [0.875, 0.774, 0.750], [0.524, 0.125, 0.250], [0.250, 0.750, 0.500], [0.226, 0.625, 0.250]]}

***

# 8
{"formula": "CaSiNi3", "functional": "PBE-GGA", "state": "optimized geometry", "raw_formation_energy_mev_per_atom": -132, "polymorph_energy_mev_per_atom": 234, "e_tot_ha_per_atom": -0.187, "lattice_angstrom": [[4.339, 0.000, 0.000], [0.000, 4.339, 0.000], [0.000, 0.000, 4.339]], "species": ["Ni", "Ni", "Si", "Ca", "Ni"], "fractional_positions": [[0.500, 0.000, 0.000], [0.000, 0.500, 0.000], [0.000, 0.000, 0.000], [0.500, 0.500, 0.500], [0.000, 0.000, 0.500]]}